Below is a geometry-optimized Rb2U3CoO12 structure, with properties calculated at the PBE+U level.

Summary:
total DFT energy (no corrections): -436.5 eV for the cell shown
total moment: 2.98 Bohr magnetons per cell
calculated density: 6.1 g cm⁻³

Structure (CIF):
```
data_Rb2U3CoO12
_cell_length_a 7.8552
_cell_length_b 7.8552
_cell_length_c 17.4660
_cell_angle_alpha 90.00
_cell_angle_beta 90.00
_cell_angle_gamma 120.00
_space_group_name_H-M_alt 'R -3 m'
_space_group_IT_number 166
_space_group_name_Hall '-R 3 2"'
loop_
_atom_site_label
_atom_site_fract_x
_atom_site_fract_y
_atom_site_fract_z
Rb1 0.0000 0.0000 0.1318
U1 0.0000 0.5000 0.0000
Co1 0.0000 0.0000 0.5000
O1 0.0785 0.5392 0.3668
O2 0.1039 0.5519 0.1066
```

---

Below is a geometry-optimized Rb2UCoO6 structure, with properties calculated at the PBE+U level.

Summary:
total DFT energy (no corrections): -135.2 eV for the cell shown
total moment: 6.00 Bohr magnetons per cell
calculated density: 6.3 g cm⁻³

Structure (CIF):
```
data_Rb2UCoO6
_cell_length_a 6.016
_cell_length_b 6.016
_cell_length_c 8.171
_cell_angle_alpha 90.00
_cell_angle_beta 90.00
_cell_angle_gamma 90.00
_space_group_name_H-M_alt 'I 4/m m m'
_space_group_IT_number 139
_space_group_name_Hall '-I 4 2'
loop_
_atom_site_label
_atom_site_fract_x
_atom_site_fract_y
_atom_site_fract_z
Rb1 0.000 0.500 0.250
U1 0.000 0.000 0.000
Co1 0.000 0.000 0.500
O1 0.000 0.000 0.284
O2 0.235 0.235 0.000
```